Record 1
A geometry-optimized Pm4CdRh structure, computed with PBE-GGA.

Values from the calculation:
Energy of formation in meV/atom: -334
Spin magnetization in μB per cell: 0.00
Energy in eV/atom: -4.88
Polymorph energy (0 for the lowest one) in meV per atom: 108.5
Volume in Å³/cell: 349
Space group: C2/c, No. 15

```
data_Pm4CdRh
_space_group_name_H-M_alt 'P 1'
_space_group_IT_number 1
_cell_length_a 6.117
_cell_length_b 8.607
_cell_length_c 8.255
_cell_angle_alpha 114.17
_cell_angle_beta 102.30
_cell_angle_gamma 107.58
loop_
_space_group_symop_operation_xyz
'x,y,z'
loop_
_atom_site_label
_atom_site_fract_x
_atom_site_fract_y
_atom_site_fract_z
Pm1 0.641 0.071 0.365
Cd1 0.630 0.380 0.759
Pm2 0.700 0.350 0.146
Pm3 0.054 0.204 0.854
Pm4 0.946 0.796 0.146
Rh1 0.249 0.999 0.998
Pm5 0.359 0.929 0.635
Cd2 0.370 0.620 0.241
Rh2 0.751 0.001 0.002
Pm6 0.775 0.705 0.635
Pm7 0.300 0.650 0.854
Pm8 0.225 0.295 0.365
```



Record 2
A geometry-optimized Pm6CdRh3 structure, computed with PBE-GGA.

Values from the calculation:
Energy of formation in meV/atom: -491
Spin magnetization in μB per cell: 0.00
Energy in eV/atom: -5.64
Polymorph energy (0 for the lowest one) in meV per atom: 4.5
Volume in Å³/cell: 540
Space group: Cmc2_1, No. 36

```
data_Pm6CdRh3
_space_group_name_H-M_alt 'P 1'
_space_group_IT_number 1
_cell_length_a 7.237
_cell_length_b 8.681
_cell_length_c 8.681
_cell_angle_alpha 97.99
_cell_angle_beta 90.00
_cell_angle_gamma 90.00
loop_
_space_group_symop_operation_xyz
'x,y,z'
loop_
_atom_site_label
_atom_site_fract_x
_atom_site_fract_y
_atom_site_fract_z
Pm1 0.676 0.628 0.691
Pm2 0.294 0.501 0.940
Cd1 0.000 0.328 0.672
Pm3 0.794 0.940 0.501
Pm4 0.139 0.072 0.928
Rh1 0.457 0.914 0.750
Pm5 0.611 0.210 0.790
Pm6 0.176 0.372 0.309
Rh2 0.457 0.250 0.086
Pm7 0.294 0.060 0.499
Pm8 0.639 0.928 0.072
Pm9 0.176 0.691 0.628
Pm10 0.111 0.790 0.210
Rh3 0.957 0.086 0.250
Rh4 0.383 0.388 0.612
Rh5 0.957 0.750 0.914
Cd2 0.500 0.672 0.328
Pm11 0.794 0.499 0.060
Rh6 0.883 0.612 0.388
Pm12 0.676 0.309 0.372
```



Record 3
A geometry-optimized PmCd3Rh structure, computed with PBE-GGA.

Values from the calculation:
Energy of formation in meV/atom: -267
Spin magnetization in μB per cell: 0.00
Energy in eV/atom: -3.24
Polymorph energy (0 for the lowest one) in meV per atom: 110.7
Volume in Å³/cell: 120
Space group: Amm2, No. 38

```
data_PmCd3Rh
_space_group_name_H-M_alt 'P 1'
_space_group_IT_number 1
_cell_length_a 4.689
_cell_length_b 4.769
_cell_length_c 5.874
_cell_angle_alpha 113.95
_cell_angle_beta 90.00
_cell_angle_gamma 90.00
loop_
_space_group_symop_operation_xyz
'x,y,z'
loop_
_atom_site_label
_atom_site_fract_x
_atom_site_fract_y
_atom_site_fract_z
Pm1 0.500 0.035 0.069
Cd1 0.000 0.254 0.507
Cd2 0.000 0.540 0.080
Rh1 0.500 0.392 0.785
Cd3 0.500 0.739 0.478
```



Record 4
A geometry-optimized Pm3Cd2Rh structure, computed with PBE-GGA.

Values from the calculation:
Energy of formation in meV/atom: -396
Spin magnetization in μB per cell: 0.00
Energy in eV/atom: -4.30
Polymorph energy (0 for the lowest one) in meV per atom: 47.5
Volume in Å³/cell: 328
Space group: Cmcm, No. 63

```
data_Pm3Cd2Rh
_space_group_name_H-M_alt 'P 1'
_space_group_IT_number 1
_cell_length_a 5.421
_cell_length_b 7.146
_cell_length_c 8.891
_cell_angle_alpha 89.97
_cell_angle_beta 107.75
_cell_angle_gamma 90.00
loop_
_space_group_symop_operation_xyz
'x,y,z'
loop_
_atom_site_label
_atom_site_fract_x
_atom_site_fract_y
_atom_site_fract_z
Pm1 0.498 0.250 0.000
Cd1 0.302 0.250 0.604
Rh1 0.998 0.250 0.000
Pm2 0.865 0.500 0.731
Pm3 0.135 0.500 0.269
Cd2 0.698 0.250 0.396
Rh2 0.002 0.750 0.000
Pm4 0.502 0.750 0.000
Pm5 0.865 0.000 0.731
Pm6 0.135 0.000 0.269
Cd3 0.698 0.750 0.396
Cd4 0.302 0.750 0.604
```



Record 5
A geometry-optimized PmCd3Rh structure, computed with PBE-GGA.

Values from the calculation:
Energy of formation in meV/atom: -378
Spin magnetization in μB per cell: 0.00
Energy in eV/atom: -3.35
Polymorph energy (0 for the lowest one) in meV per atom: 0.0
Volume in Å³/cell: 223
Space group: P2_1/m, No. 11

```
data_PmCd3Rh
_space_group_name_H-M_alt 'P 1'
_space_group_IT_number 1
_cell_length_a 7.044
_cell_length_b 5.830
_cell_length_c 5.438
_cell_angle_alpha 90.00
_cell_angle_beta 88.07
_cell_angle_gamma 90.00
loop_
_space_group_symop_operation_xyz
'x,y,z'
loop_
_atom_site_label
_atom_site_fract_x
_atom_site_fract_y
_atom_site_fract_z
Rh1 0.965 0.750 0.160
Cd1 0.695 0.503 0.873
Pm1 0.109 0.750 0.645
Pm2 0.891 0.250 0.355
Cd2 0.608 0.750 0.402
Cd3 0.305 0.003 0.127
Cd4 0.392 0.250 0.598
Cd5 0.305 0.497 0.127
Cd6 0.695 0.997 0.873
Rh2 0.035 0.250 0.840
```



Record 6
A geometry-optimized PmCd8Rh4 structure, computed with PBE-GGA.

Values from the calculation:
Energy of formation in meV/atom: -223
Spin magnetization in μB per cell: 0.00
Energy in eV/atom: -3.41
Volume in Å³/cell: 258
Space group: I4/mmm, No. 139

```
data_PmCd8Rh4
_space_group_name_H-M_alt 'P 1'
_space_group_IT_number 1
_cell_length_a 5.874
_cell_length_b 7.255
_cell_length_c 7.255
_cell_angle_alpha 80.57
_cell_angle_beta 66.12
_cell_angle_gamma 66.12
loop_
_space_group_symop_operation_xyz
'x,y,z'
loop_
_atom_site_label
_atom_site_fract_x
_atom_site_fract_y
_atom_site_fract_z
Rh1 0.000 0.000 0.500
Cd1 0.000 0.667 0.333
Rh2 0.500 0.500 0.000
Pm1 0.000 0.000 0.000
Cd2 0.000 0.333 0.667
Cd3 0.333 0.667 0.667
Rh3 0.000 0.500 0.000
Rh4 0.500 0.000 0.500
Cd4 0.500 0.223 0.777
Cd5 0.723 0.777 0.777
Cd6 0.500 0.777 0.223
Cd7 0.667 0.333 0.333
Cd8 0.277 0.223 0.223
```



Record 7
A geometry-optimized Pm4CdRh3 structure, computed with PBE-GGA.

Values from the calculation:
Energy of formation in meV/atom: -561
Spin magnetization in μB per cell: 0.00
Energy in eV/atom: -5.81
Volume in Å³/cell: 371
Space group: Pmma, No. 51

```
data_Pm4CdRh3
_space_group_name_H-M_alt 'P 1'
_space_group_IT_number 1
_cell_length_a 5.036
_cell_length_b 7.302
_cell_length_c 10.079
_cell_angle_alpha 90.00
_cell_angle_beta 90.00
_cell_angle_gamma 90.00
loop_
_space_group_symop_operation_xyz
'x,y,z'
loop_
_atom_site_label
_atom_site_fract_x
_atom_site_fract_y
_atom_site_fract_z
Pm1 0.500 0.236 0.500
Pm2 0.500 0.236 0.000
Pm3 0.000 0.236 0.250
Rh1 0.000 0.000 0.000
Rh2 0.499 0.000 0.750
Pm4 0.000 0.236 0.750
Rh3 0.499 0.500 0.250
Pm5 0.000 0.764 0.250
Pm6 0.500 0.764 0.000
Pm7 0.500 0.764 0.500
Rh4 0.501 0.000 0.250
Pm8 0.000 0.764 0.750
Rh5 0.501 0.500 0.750
Rh6 0.000 0.000 0.500
Cd1 0.000 0.500 0.500
Cd2 0.000 0.500 0.000
```



Record 8
A geometry-optimized Pm6CdRh3 structure, computed with PBE-GGA.

Values from the calculation:
Energy of formation in meV/atom: -496
Spin magnetization in μB per cell: 0.00
Energy in eV/atom: -5.64
Polymorph energy (0 for the lowest one) in meV per atom: 0.0
Volume in Å³/cell: 577
Space group: P2_1/m, No. 11

```
data_Pm6CdRh3
_space_group_name_H-M_alt 'P 1'
_space_group_IT_number 1
_cell_length_a 4.166
_cell_length_b 12.130
_cell_length_c 12.049
_cell_angle_alpha 108.62
_cell_angle_beta 90.00
_cell_angle_gamma 90.00
loop_
_space_group_symop_operation_xyz
'x,y,z'
loop_
_atom_site_label
_atom_site_fract_x
_atom_site_fract_y
_atom_site_fract_z
Pm1 0.750 0.937 0.098
Rh1 0.250 0.842 0.933
Pm2 0.250 0.218 0.230
Rh2 0.250 0.545 0.164
Pm3 0.250 0.294 0.737
Pm4 0.250 0.850 0.540
Pm5 0.250 0.529 0.392
Pm6 0.750 0.388 0.048
Rh3 0.750 0.682 0.507
Pm7 0.250 0.612 0.952
Cd1 0.250 0.945 0.310
Rh4 0.750 0.455 0.836
Pm8 0.750 0.706 0.263
Pm9 0.750 0.150 0.460
Rh5 0.250 0.318 0.493
Pm10 0.250 0.063 0.902
Pm11 0.750 0.471 0.608
Rh6 0.750 0.158 0.067
Pm12 0.750 0.782 0.770
Cd2 0.750 0.055 0.690
```



Record 9
A geometry-optimized Pm3Cd2Rh structure, computed with PBE-GGA.

Values from the calculation:
Energy of formation in meV/atom: -443
Spin magnetization in μB per cell: 0.00
Energy in eV/atom: -4.35
Polymorph energy (0 for the lowest one) in meV per atom: 0.0
Volume in Å³/cell: 310
Space group: Cmmm, No. 65

```
data_Pm3Cd2Rh
_space_group_name_H-M_alt 'P 1'
_space_group_IT_number 1
_cell_length_a 5.192
_cell_length_b 8.249
_cell_length_c 7.636
_cell_angle_alpha 90.00
_cell_angle_beta 90.00
_cell_angle_gamma 71.66
loop_
_space_group_symop_operation_xyz
'x,y,z'
loop_
_atom_site_label
_atom_site_fract_x
_atom_site_fract_y
_atom_site_fract_z
Pm1 0.175 0.651 0.777
Pm2 0.500 0.000 0.764
Rh1 0.349 0.301 0.000
Cd1 0.000 0.000 0.000
Pm3 0.500 0.000 0.236
Pm4 0.175 0.651 0.223
Cd2 0.335 0.331 0.500
Pm5 0.825 0.349 0.223
Cd3 0.000 0.000 0.500
Rh2 0.651 0.699 0.000
Pm6 0.825 0.349 0.777
Cd4 0.665 0.669 0.500
```



Record 10
A geometry-optimized PmCd2Rh2 structure, computed with PBE-GGA.

Values from the calculation:
Energy of formation in meV/atom: -181
Spin magnetization in μB per cell: 0.00
Energy in eV/atom: -4.44
Volume in Å³/cell: 217
Space group: C2/c, No. 15

```
data_PmCd2Rh2
_space_group_name_H-M_alt 'P 1'
_space_group_IT_number 1
_cell_length_a 5.353
_cell_length_b 5.353
_cell_length_c 9.690
_cell_angle_alpha 91.33
_cell_angle_beta 91.33
_cell_angle_gamma 128.45
loop_
_space_group_symop_operation_xyz
'x,y,z'
loop_
_atom_site_label
_atom_site_fract_x
_atom_site_fract_y
_atom_site_fract_z
Rh1 0.795 0.705 0.250
Cd1 0.336 0.138 0.501
Pm1 0.885 0.615 0.750
Cd2 0.664 0.862 0.499
Cd3 0.362 0.164 0.999
Pm2 0.115 0.385 0.250
Rh2 0.527 0.973 0.750
Rh3 0.205 0.295 0.750
Rh4 0.473 0.027 0.250
Cd4 0.638 0.836 0.001
```



Question: Number 5 is which compound?
Answer: PmCd3Rh



Question: Look up the volume of the third one.
Answer: 120 Å³/cell



Question: Among the records above, which one has the highest volume?
Answer: number 8



Copy entry 3 word for word.
A geometry-optimized PmCd3Rh structure, computed with PBE-GGA.

Values from the calculation:
Energy of formation in meV/atom: -267
Spin magnetization in μB per cell: 0.00
Energy in eV/atom: -3.24
Polymorph energy (0 for the lowest one) in meV per atom: 110.7
Volume in Å³/cell: 120
Space group: Amm2, No. 38

```
data_PmCd3Rh
_space_group_name_H-M_alt 'P 1'
_space_group_IT_number 1
_cell_length_a 4.689
_cell_length_b 4.769
_cell_length_c 5.874
_cell_angle_alpha 113.95
_cell_angle_beta 90.00
_cell_angle_gamma 90.00
loop_
_space_group_symop_operation_xyz
'x,y,z'
loop_
_atom_site_label
_atom_site_fract_x
_atom_site_fract_y
_atom_site_fract_z
Pm1 0.500 0.035 0.069
Cd1 0.000 0.254 0.507
Cd2 0.000 0.540 0.080
Rh1 0.500 0.392 0.785
Cd3 0.500 0.739 0.478
```